No. 1
The following is a PBE calculation of crystalline KNaTiIn2 at its relaxed geometry, from Alexandria via LeMat-Bulk.

Properties
calculated volume: 195.64 Å³/cell
ΔE_f: 1.8 eV per formula unit
electronic total energy: -2.79 eV/atom
DOS(E_F): 1.12 states/eV/atom

Cell lengths 5.6536, 5.6536, 6.1208 Å; angles 90.00, 90.00, 90.00 degrees
Last column: nearest neighbours and their distance in Å.
Atoms (fractional coordinates):
K1 0.0000 0.0000 0.0000  4 Na 4.00, 8 In 4.17
Na1 0.5000 0.5000 0.0000  2 Ti 3.06
Ti1 0.5000 0.5000 0.5000  4 In 2.83, 2 Na 3.06
In1 0.0000 0.5000 0.5000  2 Ti 2.83
In2 0.5000 0.0000 0.5000  2 Ti 2.83


No. 2
The following is a PBE calculation of crystalline KNaTlIn at its relaxed geometry, from Alexandria via LeMat-Bulk.

Properties
calculated volume: 442.03 Å³/cell
ΔE_f: -0.3 eV per formula unit
relative energy among the computed polymorphs: 1 kJ/mol of formula units
electronic total energy: -1.96 eV/atom
DOS(E_F): 0.42 states/eV/atom

Cell lengths 5.1999, 5.1999, 18.8779 Å; angles 90.00, 90.00, 120.00 degrees
Last column: nearest neighbours and their distance in Å.
Atoms (fractional coordinates):
K1 0.0000 0.0000 0.0000  3 Tl 3.71, 4 Na 3.82-3.89, 4 In 3.82-3.89
K2 0.3333 0.6667 0.6667  3 Tl 3.71, 4 Na 3.82-3.89, 4 In 3.82-3.89
K3 0.6667 0.3333 0.3333  3 Tl 3.71, 4 Na 3.82-3.89, 4 In 3.82-3.89
Na1 0.0000 0.0000 0.2023  3 In 3.29, 3 Tl 3.42
Na2 0.3333 0.6667 0.8689  3 In 3.29, 3 Tl 3.42
Na3 0.6667 0.3333 0.5356  3 In 3.29, 3 Tl 3.42
Tl1 0.0000 0.0000 0.4485  3 In 3.02
Tl2 0.3333 0.6667 0.1151  3 In 3.02
Tl3 0.6667 0.3333 0.7818  3 In 3.02
In1 0.0000 0.0000 0.7976  3 Tl 3.02, 3 Na 3.29
In2 0.3333 0.6667 0.4643  3 Tl 3.02, 3 Na 3.29
In3 0.6667 0.3333 0.1309  3 Tl 3.02, 3 Na 3.29


No. 3
The following is a PBE calculation of crystalline KNaTlIn at its relaxed geometry, from Alexandria via LeMat-Bulk.

Properties
calculated volume: 487.38 Å³/cell
ΔE_f: -0.3 eV per formula unit
relative energy among the computed polymorphs: 0 kJ/mol of formula units
electronic total energy: -1.97 eV/atom
DOS(E_F): 0.25 states/eV/atom

Cell lengths 7.8697, 7.8697, 7.8697 Å; angles 90.00, 90.00, 90.00 degrees
Last column: nearest neighbours and their distance in Å.
Atoms (fractional coordinates):
K1 0.0000 0.0000 0.0000  4 Tl 3.41, 4 Na 3.41
K2 0.0000 0.5000 0.5000  4 Tl 3.41, 4 Na 3.41
K3 0.5000 0.0000 0.5000  4 Tl 3.41, 4 Na 3.41
K4 0.5000 0.5000 0.0000  4 Tl 3.41, 4 Na 3.41
Na1 0.2500 0.2500 0.7500  4 In 3.41, 4 K 3.41
Na2 0.2500 0.7500 0.2500  4 In 3.41, 4 K 3.41
Na3 0.7500 0.2500 0.2500  4 In 3.41, 4 K 3.41
Na4 0.7500 0.7500 0.7500  4 In 3.41, 4 K 3.41
Tl1 0.2500 0.2500 0.2500  4 In 3.41, 4 K 3.41
Tl2 0.2500 0.7500 0.7500  4 In 3.41, 4 K 3.41
Tl3 0.7500 0.2500 0.7500  4 In 3.41, 4 K 3.41
Tl4 0.7500 0.7500 0.2500  4 In 3.41, 4 K 3.41
In1 0.0000 0.0000 0.5000  4 Tl 3.41, 4 Na 3.41
In2 0.0000 0.5000 0.0000  4 Tl 3.41, 4 Na 3.41
In3 0.5000 0.0000 0.0000  4 Tl 3.41, 4 Na 3.41
In4 0.5000 0.5000 0.5000  4 Tl 3.41, 4 Na 3.41